Entry 1:
# MgAlSN2

MgAlSN2 after structural relaxation (PBE, Alexandria).

Unit cell a=3.6836 b=3.6836 c=5.2962 alpha=90.00 beta=90.00 gamma=90.00
With the nearest neighbours (Å) after each atom.
Fractional positions:
Mg1 0.5000 0.5000 0.5000  4 S 2.60
Al1 0.0000 0.0000 0.0000  4 N 1.84
S1 0.0000 0.0000 0.5000  4 Mg 2.60, 2 Al 2.65
N1 0.0000 0.5000 0.0000  2 Al 1.84
N2 0.5000 0.0000 0.0000  2 Al 1.84

Results
The density of states at the Fermi level is 0.46 states/eV per atom. Its total DFT energy (no corrections) is -5.0659 eV per atom. Its distance to the lowest polymorph of the same formula is 0.000 eV per formula unit. As for the spin magnetization: 1.1 μB/cell. As for the raw formation energy: 0.157 eV per atom.

=====

Entry 2:
# MgAlSeN2

MgAlSeN2 after structural relaxation (PBE, Alexandria).

Unit cell a=4.0044 b=4.0044 c=5.5052 alpha=90.00 beta=90.00 gamma=90.00
With the nearest neighbours (Å) after each atom.
Fractional positions:
N1 0.0000 0.5000 0.0000  2 Mg 2.00
N2 0.5000 0.0000 0.0000  2 Mg 2.00
Se1 0.0000 0.0000 0.5000  2 Mg 2.75, 4 Al 2.83
Mg1 0.0000 0.0000 0.0000  4 N 2.00
Al1 0.5000 0.5000 0.5000  4 Se 2.83

Results
The density of states at the Fermi level is 0.43 states/eV per atom. Its total DFT energy (no corrections) is -3.9942 eV per atom. Its distance to the lowest polymorph of the same formula is 4.325 eV per formula unit. As for the spin magnetization: 3.3 μB/cell. As for the raw formation energy: 1.100 eV per atom.

=====

Entry 3:
# MgAlSeN2

MgAlSeN2 after structural relaxation (PBE, Alexandria).

Unit cell a=3.7301 b=3.7301 c=5.5975 alpha=90.00 beta=90.00 gamma=90.00
With the nearest neighbours (Å) after each atom.
Fractional positions:
N1 0.0000 0.5000 0.0000  2 Al 1.87
N2 0.5000 0.0000 0.0000  2 Al 1.87
Mg1 0.5000 0.5000 0.5000  4 Se 2.64
Se1 0.0000 0.0000 0.5000  4 Mg 2.64, 2 Al 2.80
Al1 0.0000 0.0000 0.0000  4 N 1.87

Results
The density of states at the Fermi level is 0.44 states/eV per atom. Its total DFT energy (no corrections) is -4.8591 eV per atom. Its distance to the lowest polymorph of the same formula is 0.000 eV per formula unit. As for the spin magnetization: 1.0 μB/cell. As for the raw formation energy: 0.235 eV per atom.

=====

Entry 4:
# MgAl2SiN4

MgAl2SiN4 after structural relaxation (PBE, Alexandria).

Unit cell a=4.5022 b=4.5022 c=5.2973 alpha=115.15 beta=115.15 gamma=90.00
With the nearest neighbours (Å) after each atom.
Fractional positions:
N1 0.8471 0.4058 0.2529  1 Si 1.77, 2 Al 1.91
N2 0.1530 0.1530 0.7473  1 Si 1.77, 2 Al 1.91
N3 0.4058 0.8471 0.2529  1 Si 1.77, 2 Al 1.91
N4 0.5943 0.5943 0.7473  1 Si 1.77, 2 Al 1.91
Al1 0.2500 0.7500 0.5001  4 N 1.91
Al2 0.7500 0.2500 0.5001  4 N 1.91
Si1 0.5000 0.5000 0.0001  4 N 1.77
Mg1 0.0000 0.0000 0.0000  4 N 2.08

Results
The density of states at the Fermi level is 0.00 states/eV per atom. Its total DFT energy (no corrections) is -7.2323 eV per atom. As for the spin magnetization: 0.0 μB/cell. As for the raw formation energy: -1.257 eV per atom.

=====

Entry 5:
# Tb12MgAl4N3

Tb12MgAl4N3 after structural relaxation (PBE, Alexandria).

Unit cell a=8.5867 b=8.5867 c=8.5867 alpha=109.47 beta=109.47 gamma=109.47
With the nearest neighbours (Å) after each atom.
Fractional positions:
Tb1 0.7267 0.0000 0.7267  1 N 2.25
Tb2 0.0000 0.7267 0.7267  1 N 2.25
Tb3 0.2733 0.0000 0.2733  1 N 2.25
Tb4 0.2500 0.7500 0.5000  2 N 2.48
Tb5 0.7500 0.2500 0.5000  2 N 2.48
Tb6 0.2733 0.2733 0.0000  1 N 2.25
Tb7 0.0000 0.2733 0.2733  1 N 2.25
Tb8 0.5000 0.7500 0.2500  2 N 2.48
Tb9 0.7267 0.7267 0.0000  1 N 2.25
Tb10 0.2500 0.5000 0.7500  2 N 2.48
Tb11 0.7500 0.5000 0.2500  2 N 2.48
Tb12 0.5000 0.2500 0.7500  2 N 2.48
Al1 0.5000 0.0000 0.0000  12 Tb 3.51
Al2 0.0000 0.0000 0.5000  12 Tb 3.51
Al3 0.5000 0.5000 0.5000  12 Tb 3.51
Al4 0.0000 0.5000 0.0000  12 Tb 3.51
N1 0.0000 0.5000 0.5000  6 Tb 2.25-2.48
N2 0.5000 0.5000 0.0000  6 Tb 2.25-2.48
N3 0.5000 0.0000 0.5000  6 Tb 2.25-2.48
Mg1 0.0000 0.0000 0.0000  6 Tb 2.71

Results
The density of states at the Fermi level is 0.75 states/eV per atom. Its total DFT energy (no corrections) is -5.3133 eV per atom. As for the spin magnetization: 0.0 μB/cell. As for the raw formation energy: -0.458 eV per atom.

=====

Entry 6:
# MgAlTeN2

MgAlTeN2 after structural relaxation (PBE, Alexandria).

Unit cell a=3.8462 b=3.8462 c=5.9318 alpha=90.00 beta=90.00 gamma=90.00
With the nearest neighbours (Å) after each atom.
Fractional positions:
Mg1 0.5000 0.5000 0.5000  4 Te 2.72
Al1 0.0000 0.0000 0.0000  4 N 1.92
N1 0.5000 0.0000 0.0000  2 Al 1.92
N2 0.0000 0.5000 0.0000  2 Al 1.92
Te1 0.0000 0.0000 0.5000  4 Mg 2.72, 2 Al 2.97

Results
The density of states at the Fermi level is 0.42 states/eV per atom. Its total DFT energy (no corrections) is -4.5286 eV per atom. Its distance to the lowest polymorph of the same formula is 0.000 eV per formula unit. As for the spin magnetization: 0.8 μB/cell. As for the raw formation energy: 0.497 eV per atom.

=====

Entry 7:
# MgAlTeN2

MgAlTeN2 after structural relaxation (PBE, Alexandria).

Unit cell a=4.1328 b=4.1328 c=6.0100 alpha=90.00 beta=90.00 gamma=90.00
With the nearest neighbours (Å) after each atom.
Fractional positions:
Mg1 0.0000 0.0000 0.0000  4 N 2.07
Te1 0.0000 0.0000 0.5000  4 Al 2.92, 2 Mg 3.00
N1 0.5000 0.0000 0.0000  2 Mg 2.07
N2 0.0000 0.5000 0.0000  2 Mg 2.07
Al1 0.5000 0.5000 0.5000  4 Te 2.92

Results
The density of states at the Fermi level is 0.33 states/eV per atom. Its total DFT energy (no corrections) is -3.8623 eV per atom. Its distance to the lowest polymorph of the same formula is 3.331 eV per formula unit. As for the spin magnetization: 3.8 μB/cell. As for the raw formation energy: 1.164 eV per atom.

=====

Entry 8:
# MgTi2AlN

MgTi2AlN after structural relaxation (PBE, Alexandria).

Unit cell a=4.2000 b=4.1289 c=4.2000 alpha=90.00 beta=90.00 gamma=90.00
With the nearest neighbours (Å) after each atom.
Fractional positions:
Mg1 0.5000 0.5000 0.5000  8 Ti 2.94, 4 Al 2.97
Al1 0.0000 0.5000 0.0000  2 N 2.06
Ti1 0.0000 0.0000 0.5000  2 N 2.10
Ti2 0.5000 0.0000 0.0000  2 N 2.10
N1 0.0000 0.0000 0.0000  2 Al 2.06, 4 Ti 2.10

Results
The density of states at the Fermi level is 0.67 states/eV per atom. Its total DFT energy (no corrections) is -6.3803 eV per atom. Its distance to the lowest polymorph of the same formula is 1.064 eV per formula unit. As for the spin magnetization: 0.0 μB/cell. As for the raw formation energy: -0.490 eV per atom.

=====

Entry 9:
# MgTi2AlN

MgTi2AlN after structural relaxation (PBE, Alexandria).

Unit cell a=4.1527 b=4.1527 c=4.2029 alpha=90.00 beta=90.00 gamma=90.00
With the nearest neighbours (Å) after each atom.
Fractional positions:
Ti1 0.0000 0.5000 0.0000  2 N 2.08
Ti2 0.5000 0.0000 0.0000  2 N 2.08
Mg1 0.0000 0.0000 0.5000  2 N 2.10
N1 0.0000 0.0000 0.0000  4 Ti 2.08, 2 Mg 2.10
Al1 0.5000 0.5000 0.5000  4 Mg 2.94, 8 Ti 2.95

Results
The density of states at the Fermi level is 0.59 states/eV per atom. Its total DFT energy (no corrections) is -6.5931 eV per atom. Its distance to the lowest polymorph of the same formula is 0.000 eV per formula unit. As for the spin magnetization: 0.0 μB/cell. As for the raw formation energy: -0.703 eV per atom.

=====

Entry 10:
# Y2MgAlN

Y2MgAlN after structural relaxation (PBE, Alexandria).

Unit cell a=4.8240 b=4.8240 c=4.2942 alpha=90.00 beta=90.00 gamma=90.00
With the nearest neighbours (Å) after each atom.
Fractional positions:
Al1 0.5000 0.5000 0.5000  8 Y 3.23, 4 Mg 3.41
Mg1 0.0000 0.0000 0.5000  2 N 2.15
N1 0.0000 0.0000 0.0000  2 Mg 2.15
Y1 0.0000 0.5000 0.0000  2 N 2.41
Y2 0.5000 0.0000 0.0000  2 N 2.41

Results
The density of states at the Fermi level is 0.18 states/eV per atom. Its total DFT energy (no corrections) is -6.1020 eV per atom. As for the spin magnetization: 0.0 μB/cell. As for the raw formation energy: -0.784 eV per atom.

=====

Entry 11:
# Y12MgAl4N3

Y12MgAl4N3 after structural relaxation (PBE, Alexandria).

Unit cell a=8.5661 b=8.5661 c=8.5661 alpha=109.47 beta=109.47 gamma=109.47
With the nearest neighbours (Å) after each atom.
Fractional positions:
Y1 0.2725 0.0000 0.2725  1 N 2.25
Y2 0.7500 0.2500 0.5000  2 N 2.47
Y3 0.2500 0.7500 0.5000  2 N 2.47
Y4 0.5000 0.7500 0.2500  2 N 2.47
Y5 0.0000 0.2725 0.2725  1 N 2.25
Y6 0.2500 0.5000 0.7500  2 N 2.47
Y7 0.7275 0.0000 0.7275  1 N 2.25
Y8 0.0000 0.7275 0.7275  1 N 2.25
Y9 0.7275 0.7275 0.0000  1 N 2.25
Y10 0.5000 0.2500 0.7500  2 N 2.47
Y11 0.2725 0.2725 0.0000  1 N 2.25
Y12 0.7500 0.5000 0.2500  2 N 2.47
N1 0.0000 0.5000 0.5000  6 Y 2.25-2.47
N2 0.5000 0.0000 0.5000  6 Y 2.25-2.47
N3 0.5000 0.5000 0.0000  6 Y 2.25-2.47
Al1 0.5000 0.0000 0.0000  12 Y 3.50
Al2 0.0000 0.0000 0.5000  12 Y 3.50
Al3 0.5000 0.5000 0.5000  12 Y 3.50
Al4 0.0000 0.5000 0.0000  12 Y 3.50
Mg1 0.0000 0.0000 0.0000  6 Y 2.70

Results
The density of states at the Fermi level is 0.84 states/eV per atom. Its total DFT energy (no corrections) is -6.4405 eV per atom. As for the spin magnetization: 0.0 μB/cell. As for the raw formation energy: -0.485 eV per atom.

=====

Entry 12:
# MgAl2ZnN

MgAl2ZnN after structural relaxation (PBE, Alexandria).

Unit cell a=5.3697 b=3.7409 c=5.3697 alpha=90.00 beta=90.00 gamma=90.00
With the nearest neighbours (Å) after each atom.
Fractional positions:
Al1 0.5000 0.0000 0.0000  2 Mg 2.68
Al2 0.0000 0.0000 0.5000  2 Mg 2.68
Mg1 0.0000 0.0000 0.0000  2 N 1.87
N1 0.0000 0.5000 0.0000  2 Mg 1.87
Zn1 0.5000 0.5000 0.5000  8 Al 3.27

Results
The density of states at the Fermi level is 0.47 states/eV per atom. Its total DFT energy (no corrections) is -2.7776 eV per atom. As for the spin magnetization: 0.0 μB/cell. As for the raw formation energy: 0.958 eV per atom.

=====

spin magnetization of number 8 (MgTi2AlN)? 0.0 μB/cell